Arrangement A

VASP calculation (GGA-PBE) on Na3NiW after structural relaxation. Values from VASP.

Structure (Quantum ESPRESSO input):
```
&SYSTEM
  ibrav = 0, nat = 5, ntyp = 3
/
ATOMIC_SPECIES
Na 22.99 Na.upf
Ni 58.69 Ni.upf
W 183.84 W.upf
ATOMIC_POSITIONS crystal
Na 0.0000 0.0000 0.5000
Na 0.0000 0.5000 0.0000
Na 0.5000 0.0000 0.0000
Ni 0.5000 0.5000 0.5000
W 0.0000 0.0000 0.0000
CELL_PARAMETERS angstrom
5.8255 0.0000 0.0000
0.0000 5.8255 0.0000
0.0000 0.0000 5.8255
```

Properties
**Total magnetic moment**: 1.13 μB per atom


Arrangement B

VASP calculation (GGA-PBE) on Na3NiW after structural relaxation. Values from VASP.

Structure (Quantum ESPRESSO input):
```
&SYSTEM
  ibrav = 0, nat = 5, ntyp = 3
/
ATOMIC_SPECIES
Na 22.99 Na.upf
Ni 58.69 Ni.upf
W 183.84 W.upf
ATOMIC_POSITIONS crystal
Na 0.0000 0.0000 0.5000
Na 0.0000 0.5000 0.0000
Na 0.5000 0.0000 0.0000
Ni 0.0000 0.0000 0.0000
W 0.5000 0.5000 0.5000
CELL_PARAMETERS angstrom
5.2067 0.0000 0.0000
0.0000 5.2067 0.0000
0.0000 0.0000 5.2067
```

Properties
**Total magnetic moment**: 1.00 μB per atom


It is arrangement A that is the least stable of them.